Entry 1:
Material: V2SiO4
Method: DFT, PBE+U
State: optimized geometry

Cell and atoms, written as POSCAR:
```
V2SiO4
1.0
-1.707 1.707 6.016
1.707 -1.707 6.016
1.707 1.707 -6.016
V Si O
2 1 4
Direct
0.160 0.160 0.000
0.840 0.840 0.000
0.500 0.500 0.000
0.000 0.500 0.500
0.340 0.340 0.000
0.500 0.000 0.500
0.660 0.660 0.000
```

The calculation puts the total energy at -7.468 eV/atom. The value obtained for the volume is 10.01 Å³/atom.



Entry 2:
Material: V2SiO4
Method: DFT, PBE+U
State: optimized geometry

Cell and atoms, written as POSCAR:
```
V2SiO4
1.0
10.704 0.000 0.000
0.000 6.259 0.000
0.000 0.000 4.888
V Si O
8 4 16
Direct
0.000 0.000 0.000
0.000 0.500 0.000
0.225 0.250 0.494
0.275 0.750 0.994
0.500 0.000 0.500
0.500 0.500 0.500
0.725 0.250 0.006
0.775 0.750 0.506
0.095 0.750 0.427
0.405 0.250 0.927
0.595 0.750 0.073
0.905 0.250 0.573
0.048 0.250 0.710
0.095 0.750 0.762
0.161 0.539 0.280
0.161 0.961 0.280
0.339 0.039 0.780
0.339 0.461 0.780
0.405 0.250 0.262
0.452 0.750 0.210
0.548 0.250 0.790
0.595 0.750 0.738
0.661 0.539 0.220
0.661 0.961 0.220
0.839 0.039 0.720
0.839 0.461 0.720
0.905 0.250 0.238
0.952 0.750 0.290
```

The calculation puts the total energy at -7.927 eV/atom. The value obtained for the volume is 11.70 Å³/atom.